(1)
Entry from the Alexandria database: an optimized crystal structure of NiC2O (GGA+U).

The structure belongs to space group I-42d (No. 122); the cell edges are 4.386, 4.386 and 7.293 Å and the angles 90.00°, 90.00° and 90.00°. The asymmetric unit holds Ni at (0.000, 0.000, 0.000), C at (0.229, 0.250, 0.625) and O at (0.000, 0.000, 0.500).

The calculation puts the total energy at -4.720 eV per atom.



(2)
Entry from the Alexandria database: an optimized crystal structure of Ni3CO (GGA+U).

The structure belongs to space group Pm-3m (No. 221); the cell edges are 3.811, 3.811 and 3.811 Å and the angles 90.00°, 90.00° and 90.00°. The asymmetric unit holds Ni at (0.000, 0.000, 0.500), C at (0.500, 0.500, 0.500) and O at (0.000, 0.000, 0.000).

The excess energy over the best structure of this formula in the dataset is 0.00 kcal/mol of atoms.



(3)
Entry from the Alexandria database: an optimized crystal structure of Ni2CO (GGA+U).

The structure belongs to space group I-42d (No. 122); the cell edges are 4.661, 4.661 and 7.838 Å and the angles 90.00°, 90.00° and 90.00°. The asymmetric unit holds Ni at (0.234, 0.250, 0.125), C at (0.000, 0.000, 0.000) and O at (0.000, 0.000, 0.500).

The excess energy over the best structure of this formula in the dataset is 0.00 kcal/mol of atoms.



(4)
Entry from the Alexandria database: an optimized crystal structure of NiOs2CO (GGA+U).

The structure belongs to space group P4/mmm (No. 123); the cell edges are 4.592, 4.592 and 3.303 Å and the angles 90.00°, 90.00° and 90.00°. The asymmetric unit holds Ni at (0.000, 0.000, 0.000), Os at (0.000, 0.500, 0.000), C at (0.000, 0.000, 0.500) and O at (0.500, 0.500, 0.500).

The calculation puts the total energy at -5.202 eV per atom.



(5)
Entry from the Alexandria database: an optimized crystal structure of NiPCO2 (GGA+U).

The structure belongs to space group P4/mmm (No. 123); the cell edges are 3.426, 3.426 and 4.110 Å and the angles 90.00°, 90.00° and 90.00°. The asymmetric unit holds Ni at (0.000, 0.000, 0.000), P at (0.500, 0.500, 0.000), C at (0.500, 0.500, 0.500) and O at (0.000, 0.500, 0.500).

The excess energy over the best structure of this formula in the dataset is 19.24 kcal/mol of atoms.



(6)
Entry from the Alexandria database: an optimized crystal structure of NiPCO2 (GGA+U).

The structure belongs to space group P4/mmm (No. 123); the cell edges are 3.350, 3.350 and 4.030 Å and the angles 90.00°, 90.00° and 90.00°. The asymmetric unit holds Ni at (0.000, 0.000, 0.000), P at (0.500, 0.500, 0.500), C at (0.500, 0.500, 0.000) and O at (0.000, 0.500, 0.500).

The excess energy over the best structure of this formula in the dataset is 0.00 kcal/mol of atoms.



| no. | size of the total moment (μB/atom) |
| --- | --- |
| 1 | 0.000 |
| 2 | 0.348 |
| 3 | 0.494 |
| 4 | 0.776 |
| 5 | 0.234 |
| 6 | 0.193 |